(1)
## Er5OsRu (PBE-GGA)

Data for a relaxed structure of Er5OsRu.

Cell: 8.368 8.368 6.228 Å, 100.58 100.58 112.33°
Fractional coordinates of all 14 atoms:
1 Er 0.148 0.309 0.861
2 Er 0.152 0.848 0.750
3 Er 0.243 0.539 0.441
4 Er 0.309 0.148 0.361
5 Er 0.461 0.757 0.059
6 Er 0.539 0.243 0.941
7 Er 0.691 0.852 0.639
8 Er 0.757 0.461 0.559
9 Er 0.848 0.152 0.250
10 Er 0.852 0.691 0.139
11 Os 0.500 0.500 0.250
12 Os 0.500 0.500 0.750
13 Ru 0.000 0.000 0.000
14 Ru 0.000 0.000 0.500

Calculated values
Its crystal system is monoclinic. The calculation puts the formation energy at -137 kJ/mol of formula units. The calculation puts the density of states at the Fermi level at 0.7164 states/eV/atom.


(2)
## Nd2ErCd (PBE-GGA)

Data for a relaxed structure of Nd2ErCd.

Cell: 5.217 5.217 9.001 Å, 90.00 90.00 90.00°
Fractional coordinates of all 8 atoms:
1 Nd 0.250 0.250 0.223
2 Nd 0.250 0.750 0.500
3 Nd 0.750 0.250 0.500
4 Nd 0.750 0.750 0.777
5 Er 0.250 0.250 0.780
6 Er 0.750 0.750 0.220
7 Cd 0.250 0.750 0.000
8 Cd 0.750 0.250 0.000

Calculated values
Its crystal system is tetragonal. The calculation puts the formation energy at -56 kJ/mol of formula units. The calculation puts the density of states at the Fermi level at 1.1515 states/eV/atom.


(3)
## Tb3Al2Cd2 (PBE-GGA)

Data for a relaxed structure of Tb3Al2Cd2.

Cell: 11.168 11.168 3.524 Å, 90.00 90.00 157.14°
Fractional coordinates of all 7 atoms:
1 Tb 0.000 0.000 0.000
2 Tb 0.162 0.838 0.000
3 Tb 0.838 0.162 0.000
4 Al 0.282 0.718 0.500
5 Al 0.718 0.282 0.500
6 Cd 0.420 0.580 0.500
7 Cd 0.580 0.420 0.500

Calculated values
Its crystal system is orthorhombic. The calculation puts the formation energy at -250 kJ/mol of formula units. The calculation puts the density of states at the Fermi level at 0.9271 states/eV/atom.


(4)
## PmDy4Ni4 (PBE-GGA)

Data for a relaxed structure of PmDy4Ni4.

Cell: 8.597 8.597 5.614 Å, 90.00 90.00 90.00°
Fractional coordinates of all 18 atoms:
1 Pm 0.250 0.250 0.250
2 Pm 0.750 0.750 0.750
3 Dy 0.070 0.661 0.153
4 Dy 0.161 0.930 0.653
5 Dy 0.339 0.570 0.653
6 Dy 0.430 0.839 0.153
7 Dy 0.570 0.161 0.847
8 Dy 0.661 0.430 0.347
9 Dy 0.839 0.070 0.347
10 Dy 0.930 0.339 0.847
11 Ni 0.030 0.614 0.639
12 Ni 0.114 0.970 0.139
13 Ni 0.386 0.530 0.139
14 Ni 0.470 0.886 0.639
15 Ni 0.530 0.114 0.361
16 Ni 0.614 0.470 0.861
17 Ni 0.886 0.030 0.861
18 Ni 0.970 0.386 0.361

Calculated values
Its crystal system is tetragonal. The calculation puts the formation energy at -220 kJ/mol of formula units. The calculation puts the density of states at the Fermi level at 0.8777 states/eV/atom.


(5)
## SrZnNi2 (PBE-GGA)

Data for a relaxed structure of SrZnNi2.

Cell: 8.837 8.837 8.837 Å, 149.73 149.73 43.34°
Fractional coordinates of all 8 atoms:
1 Sr 0.000 0.000 0.000
2 Sr 0.750 0.250 0.500
3 Zn 0.250 0.750 0.500
4 Zn 0.500 0.500 0.000
5 Ni 0.338 0.625 0.213
6 Ni 0.375 0.588 0.713
7 Ni 0.412 0.125 0.787
8 Ni 0.875 0.662 0.287

Calculated values
Its crystal system is tetragonal. The calculation puts the formation energy at 17 kJ/mol of formula units. The calculation puts the density of states at the Fermi level at 0.4651 states/eV/atom.


(6)
## K2NiPt (PBE-GGA)

Data for a relaxed structure of K2NiPt.

Cell: 5.836 5.836 5.836 Å, 138.11 138.11 60.74°
Fractional coordinates of all 4 atoms:
1 K 0.250 0.750 0.500
2 K 0.750 0.250 0.500
3 Ni 0.000 0.000 0.000
4 Pt 0.500 0.500 0.000

Calculated values
Its crystal system is tetragonal. The calculation puts the formation energy at 218 kJ/mol of formula units. The calculation puts the density of states at the Fermi level at 1.0370 states/eV/atom.


(7)
## BeSb2P2 (PBE-GGA)

Data for a relaxed structure of BeSb2P2.

Cell: 4.356 4.356 5.641 Å, 90.00 90.00 90.00°
Fractional coordinates of all 5 atoms:
1 Be 0.000 0.000 0.000
2 Sb 0.000 0.500 0.500
3 Sb 0.500 0.000 0.500
4 P 0.000 0.500 0.000
5 P 0.500 0.000 0.000

Calculated values
The uncorrected formation energy comes out at 0.343 eV/atom. Its crystal system is tetragonal. The calculation puts the density of states at the Fermi level at 0.4798 states/eV/atom.


(8)
## HoSbSe (PBE-GGA)

Data for a relaxed structure of HoSbSe.

Cell: 11.690 11.690 11.690 Å, 161.46 161.46 26.34°
Fractional coordinates of all 6 atoms:
1 Ho 0.157 0.157 0.000
2 Ho 0.843 0.843 0.000
3 Sb 0.437 0.437 0.000
4 Sb 0.563 0.563 0.000
5 Se 0.295 0.295 0.000
6 Se 0.705 0.705 0.000

Calculated values
The uncorrected formation energy comes out at -1.098 eV/atom. Its crystal system is tetragonal. The calculation puts the density of states at the Fermi level at 0.1390 states/eV/atom.


(9)
## Tl2ZnNiRu (PBE-GGA)

Data for a relaxed structure of Tl2ZnNiRu.

Cell: 5.108 5.108 4.396 Å, 90.00 90.00 90.00°
Fractional coordinates of all 5 atoms:
1 Tl 0.000 0.500 0.000
2 Tl 0.500 0.000 0.000
3 Zn 0.000 0.000 0.000
4 Ni 0.000 0.000 0.500
5 Ru 0.500 0.500 0.500

Calculated values
Its crystal system is tetragonal. The calculation puts the formation energy at 580 kJ/mol of formula units. The calculation puts the density of states at the Fermi level at 1.1591 states/eV/atom.


| no. | uncorrected energy (eV per formula unit) |
| --- | --- |
| 1 | -44.737 |
| 2 | -15.595 |
| 3 | -25.797 |
| 4 | -48.562 |
| 5 | -14.338 |
| 6 | -11.762 |
| 7 | -21.075 |
| 8 | -15.479 |
| 9 | -15.050 |